Record 1
Ho2Cd5Cu (PBE, optimized geometry); energy of formation = -0.04 eV/atom
1.0
4.462 0.000 1.412
2.008 3.985 1.412
-0.940 -0.579 10.725
Ho Cd Cu
2 5 1
Cartesian
-0.129 -0.080 8.165 Ho
5.659 3.486 5.385 Ho
2.765 1.703 6.775 Cd
1.427 0.879 11.002 Cd
4.103 2.527 2.547 Cd
0.900 0.555 4.910 Cd
4.629 2.851 8.639 Cd
0.000 0.000 0.000 Cu



Record 2
Be2InSe (PBE, optimized geometry); energy above the most stable polymorph in this dataset = 2.85 eV per formula unit
1.0
4.639 0.000 0.000
2.319 4.017 0.000
2.319 1.339 3.788
Be Se In
2 1 1
Cartesian
0.000 0.000 0.000 Be
2.319 1.339 0.947 Be
6.958 4.017 2.841 Se
4.639 2.678 1.894 In



Record 3
RbTi3W (PBE, optimized geometry); energy above the most stable polymorph in this dataset = 0.00 eV per formula unit; energy of formation = 1.09 eV/atom
1.0
5.019 0.000 0.000
0.000 5.019 0.000
0.000 0.000 5.019
Rb W Ti
1 1 3
Cartesian
2.510 2.510 2.510 Rb
0.000 0.000 0.000 W
0.000 2.510 0.000 Ti
0.000 0.000 2.510 Ti
2.510 0.000 0.000 Ti



Record 4
Tb3Pr2Hg7 (PBE, optimized geometry); energy of formation = -0.30 eV/atom
1.0
5.420 0.000 0.000
0.000 5.282 0.000
0.000 -2.641 11.837
Tb Pr Hg
3 2 7
Cartesian
2.710 2.641 0.000 Tb
2.710 2.641 3.834 Tb
2.710 0.000 8.003 Tb
0.000 2.641 8.412 Pr
0.000 0.000 3.425 Pr
0.000 0.000 10.120 Hg
0.000 2.641 5.258 Hg
0.000 0.000 0.000 Hg
0.000 2.641 1.717 Hg
2.710 0.000 1.850 Hg
2.710 2.641 9.987 Hg
0.000 0.000 6.580 Hg



Record 5
LiGdBeZn (PBE, optimized geometry); energy of formation = -0.03 eV/atom
1.0
4.544 0.000 0.000
2.272 3.935 0.000
2.272 1.312 3.710
Be Zn Gd Li
1 1 1 1
Cartesian
6.816 3.935 2.783 Be
0.000 0.000 0.000 Zn
4.544 2.623 1.855 Gd
2.272 1.312 0.928 Li



Record 6
ScCo2Mo (PBE, optimized geometry); energy of formation = 0.28 eV/atom
1.0
-3.812 -2.525 -7.071
-2.970 -5.051 -6.048
-5.414 -3.890 -5.145
Co Mo Sc
2 1 1
Cartesian
-12.161 -11.433 -18.212 Co
-6.132 -5.765 -9.183 Co
-3.049 -2.866 -4.566 Mo
-9.147 -8.599 -13.698 Sc



Record 7
ErTmPuO6 (PBE, optimized geometry); VASP energy = -8.991 eV/atom
1.0
-4.715 1.926 -2.452
1.388 -5.462 -0.443
-4.830 -1.862 7.827
Er Tm Pu O
2 2 2 12
Cartesian
0.000 0.000 0.000 Er
-2.415 -0.931 3.913 Er
-1.854 -3.465 0.844 Tm
-6.304 -1.933 4.088 Tm
-3.889 -1.002 0.175 Pu
-4.269 -4.396 4.757 Pu
-2.895 -2.494 -0.881 O
-4.798 -0.177 -1.504 O
-3.267 -5.886 3.708 O
-3.359 -5.220 6.436 O
-2.976 -1.817 1.857 O
-5.490 -2.329 0.184 O
-5.877 -5.715 4.765 O
-4.891 0.488 1.224 O
-2.668 -3.068 4.748 O
-2.281 0.317 0.167 O
-5.181 -3.581 3.075 O
-5.263 -2.904 5.813 O



Record 8
HfAlNiBr2 (PBE, optimized geometry); VASP energy = -4.151 eV/atom
1.0
4.709 0.000 0.000
0.000 4.709 0.000
0.000 0.000 5.238
Ni Hf Al Br
1 1 1 2
Cartesian
0.000 0.000 0.000 Ni
0.000 0.000 2.619 Hf
2.354 2.354 2.619 Al
0.000 2.354 0.000 Br
2.354 0.000 0.000 Br